{"formula": "Tb3Zn3Si", "functional": "PBE", "state": "relaxed", "total_energy_ev_per_atom": -3.733, "lattice": [[-1.993, 2.086, 9.418], [1.993, -2.086, 9.418], [1.993, 2.086, -9.418]], "species": ["Tb", "Tb", "Tb", "Zn", "Zn", "Zn", "Si"], "frac_coords": [[0.000, 0.000, 0.000], [0.374, 0.374, 0.000], [0.697, 0.197, 0.500], [0.126, 0.626, 0.500], [0.549, 0.549, 0.000], [0.829, 0.829, 0.000], [0.255, 0.755, 0.500]]}

{"formula": "Tb3Zn2Si4", "functional": "PBE", "state": "relaxed", "total_energy_ev_per_atom": -4.900, "lattice": [[5.355, -2.049, 0.000], [5.355, 2.049, 0.000], [-1.570, 0.000, 7.946]], "species": ["Tb", "Tb", "Tb", "Zn", "Zn", "Si", "Si", "Si", "Si"], "frac_coords": [[0.000, 0.000, 0.000], [0.335, 0.335, 0.329], [0.665, 0.665, 0.671], [0.389, 0.389, 0.721], [0.611, 0.611, 0.279], [0.059, 0.059, 0.393], [0.280, 0.280, 0.947], [0.720, 0.720, 0.053], [0.941, 0.941, 0.607]]}